[1]
This record from Alexandria via LeMat-Bulk describes KHgRu2 after structural relaxation. The functional is PBE.

Geometry as extended XYZ:
```
4
Lattice="-1.515 0.911 2.243 2.642 -0.966 0.492 3.816 9.738 -1.377" Properties=species:S:1:pos:R:3 pbc="T T T"
Hg 1.518 2.407 1.023
K 3.426 7.276 0.335
Ru 0.083 0.212 -0.030
Ru 1.825 4.657 -0.659
```

***

[2]
This record from Alexandria via LeMat-Bulk describes KHgRu2 after structural relaxation. The functional is PBE.

Geometry as extended XYZ:
```
4
Lattice="3.590 0.000 0.000 0.000 3.590 0.000 0.000 0.000 7.355" Properties=species:S:1:pos:R:3 pbc="T T T"
Hg 1.795 1.795 1.839
K 1.795 1.795 5.516
Ru 0.000 0.000 0.631
Ru 0.000 0.000 3.047
```

***

Number 1: energy -3.96 eV/atom, total moment 1.5 μB/f.u.. Number 2: energy -3.91 eV/atom, total moment 3.3 μB/f.u..